# 1
LiNbCuRh, optimized geometry, DFT PBE-GGA; formation enthalpy at 0 K = -0.0905 eV per atom; volume = 58.0 Å³/f.u.
1.0
6.1449 0.0000 0.0000
0.0000 6.1449 0.0000
0.0000 0.0000 6.1449
Li Nb Cu Rh
4 4 4 4
Cartesian
0.0000 0.0000 0.0000
0.0000 3.0724 3.0724
3.0724 0.0000 3.0724
3.0724 3.0724 0.0000
0.0000 0.0000 3.0724
0.0000 3.0724 0.0000
3.0724 0.0000 0.0000
3.0724 3.0724 3.0724
1.5362 1.5362 1.5362
1.5362 4.6087 4.6087
4.6087 1.5362 4.6087
4.6087 4.6087 1.5362
1.5362 1.5362 4.6087
1.5362 4.6087 1.5362
4.6087 1.5362 1.5362
4.6087 4.6087 4.6087

=====

# 2
LiNbCu2S4, optimized geometry, DFT PBE-GGA; ΔE_f (raw) = -0.733 eV/atom; volume = 159.5 Å³/f.u.
1.0
5.5125 0.0000 0.0000
0.0000 5.5125 0.0000
0.0000 0.0000 10.4986
Li Nb Cu S
2 2 4 8
Cartesian
0.0000 0.0000 0.0000
2.7563 2.7563 5.2493
0.0000 0.0000 5.2493
2.7563 2.7563 0.0000
0.0000 2.7563 2.6246
0.0000 2.7563 7.8739
2.7563 0.0000 2.6246
2.7563 0.0000 7.8739
1.3218 1.3218 3.8720
1.3218 4.1907 6.6265
1.4344 1.4344 9.1213
1.4344 4.0781 1.3772
4.0781 1.4344 1.3772
4.0781 4.0781 9.1213
4.1907 1.3218 6.6265
4.1907 4.1907 3.8720

=====

# 3
Li2NbCuS4, optimized geometry, DFT PBE-GGA; ΔE_f (raw) = -0.935 eV/atom; volume = 168.5 Å³/f.u.
1.0
7.6901 0.0000 0.0000
0.0000 6.8726 0.0000
0.0000 0.0000 6.3762
Li Nb Cu S
4 2 2 8
Cartesian
1.9181 1.1693 0.0000
1.9269 5.7033 3.1881
5.7632 5.7033 3.1881
5.7720 1.1693 0.0000
0.0000 4.5751 6.3632
3.8450 2.2975 3.1750
0.0000 2.3368 3.1965
3.8450 4.5358 0.0084
0.0000 2.4359 5.5054
0.0000 4.4778 2.2814
1.9141 1.2103 2.4881
1.9309 5.6623 5.6762
3.8450 2.3948 5.4695
3.8450 4.4367 2.3172
5.7592 5.6623 5.6762
5.7760 1.2103 2.4881

=====

# 4
Li2NbCu2S4, optimized geometry, DFT PBE-GGA; ΔE_f (raw) = -0.803 eV/atom; volume = 148.3 Å³/f.u.
1.0
6.8322 -1.7766 0.0000
6.8322 1.7766 0.0000
-3.5052 0.0000 6.1086
Li Nb Cu S
2 1 2 4
Cartesian
1.9943 0.0000 0.1180
8.1648 0.0000 5.9906
-1.7526 0.0000 3.0543
2.6091 0.0000 3.2411
7.5501 0.0000 2.8674
0.4638 0.0000 4.3786
5.8560 0.0000 1.4148
4.3031 0.0000 4.6938
9.6954 0.0000 1.7299

=====

# 5
Li2Nb2CuS6, optimized geometry, DFT PBE-GGA; ΔE_f (raw) = -0.870 eV/atom; volume = 200.5 Å³/f.u.
1.0
3.0187 -5.4013 0.0000
3.0187 5.4013 0.0000
-1.8007 0.0000 6.1483
Li Nb Cu S
2 2 1 6
Cartesian
3.0187 3.4764 0.0000
3.0187 -3.4764 0.0000
2.1183 1.5764 3.0741
2.1183 -1.5764 3.0741
-0.9003 0.0000 3.0741
0.1102 1.8803 4.4558
1.0823 0.0000 1.5322
0.1102 -1.8803 4.4558
4.1264 1.8803 1.6924
3.1543 0.0000 4.6161
4.1264 -1.8803 1.6924

=====

# 6
Sr2LiNbCu, optimized geometry, DFT PBE-GGA; formation enthalpy at 0 K = 0.8978 eV per atom; volume = 149.1 Å³/f.u.
1.0
5.9093 0.0000 0.0000
0.0000 5.9093 0.0000
0.0000 0.0000 4.2702
Sr Li Nb Cu
2 1 1 1
Cartesian
0.0000 2.9546 0.0000
2.9546 0.0000 0.0000
0.0000 0.0000 0.0000
2.9546 2.9546 2.1351
0.0000 0.0000 2.1351

=====

Which value of volume does entry 2 give? 159.5 Å³/f.u.